Entry 1:
The following is a GGA-PBE calculation of a relaxed structure of ErBS2, from Alexandria via LeMat-Bulk.

Computed properties:
**Magnetic moment**: 0.000 μB/atom
**E_form (uncorrected)**: 0.10 eV per atom
**Fermi-level density of states**: 1.61 states/eV per cell

The structure in POSCAR format:
```
ErBS2
1.0
1.636 0.944 7.644
-1.636 0.944 7.644
0.000 -1.889 7.644
Er B S
1 1 2
direct
0.000 0.000 0.000
0.500 0.500 0.500
0.116 0.116 0.116
0.884 0.884 0.884
```


Entry 2:
The following is a GGA-PBE calculation of a relaxed structure of Pr3Pb5, from Alexandria via LeMat-Bulk.

Computed properties:
**Magnetic moment**: 0.000 μB/atom
**Energy of formation from the pure elements**: -0.463 eV/atom
**Fermi-level density of states**: 4.44 states/eV per cell

The structure in POSCAR format:
```
Pr3Pb5
1.0
4.789 -5.288 0.000
4.789 5.288 0.000
0.000 0.000 4.845
Pr Pb
3 5
direct
0.000 0.000 0.000
0.280 0.720 0.500
0.720 0.280 0.500
0.000 0.500 0.000
0.232 0.232 0.500
0.500 0.000 0.000
0.500 0.500 0.000
0.768 0.768 0.500
```


Entry 3:
The following is a GGA-PBE calculation of a relaxed structure of CaPmP2Pd5, from Alexandria via LeMat-Bulk.

Computed properties:
**Magnetic moment**: 0.000 μB/atom
**Energy of formation from the pure elements**: -0.860 eV/atom
**Fermi-level density of states**: 2.21 states/eV per cell

The structure in POSCAR format:
```
CaPmP2Pd5
1.0
4.198 0.000 0.000
0.000 4.198 0.000
0.000 0.000 8.832
Ca Pm P Pd
1 1 2 5
direct
0.000 0.000 0.000
0.000 0.000 0.500
0.500 0.500 0.372
0.500 0.500 0.628
0.000 0.500 0.238
0.000 0.500 0.762
0.500 0.000 0.238
0.500 0.000 0.762
0.500 0.500 0.000
```


Entry 4:
The following is a GGA-PBE calculation of a relaxed structure of MnAgMoH2, from Alexandria via LeMat-Bulk.

Computed properties:
**Magnetic moment**: 0.411 μB/atom
**Energy relative to the lowest polymorph listed for this composition**: 0.000 eV/atom
**Fermi-level density of states**: 2.04 states/eV per cell

The structure in POSCAR format:
```
MnAgMoH2
1.0
3.684 0.000 0.000
0.000 3.684 0.000
0.000 0.000 4.747
Mn Ag Mo H
1 1 1 2
direct
0.000 0.000 0.000
0.500 0.500 0.000
0.000 0.000 0.500
0.000 0.500 0.500
0.500 0.000 0.500
```


Entry 5:
The following is a GGA-PBE calculation of a relaxed structure of La2PrAg5, from Alexandria via LeMat-Bulk.

Computed properties:
**Magnetic moment**: 0.000 μB/atom
**Energy of formation from the pure elements**: -0.195 eV/atom
**Fermi-level density of states**: 7.12 states/eV per cell

The structure in POSCAR format:
```
La2PrAg5
1.0
-2.622 2.622 7.409
2.622 -2.622 7.409
2.622 2.622 -7.409
La Pr Ag
2 1 5
direct
0.228 0.228 0.000
0.772 0.772 0.000
0.500 0.500 0.000
0.000 0.000 0.000
0.114 0.614 0.500
0.386 0.886 0.500
0.614 0.114 0.500
0.886 0.386 0.500
```